# ScGaCoHg

Crystalline ScGaCoHg at its relaxed geometry (PBE, OQMD via LeMat-Bulk).

Results
**Energy relative to the lowest polymorph listed for this composition**: 0.057 eV per atom
**Symmetry**: No. 216
**Crystal system**: cubic
**Final energy**: -4.284 eV per atom

a b c (Å): 4.572 4.572 4.572
angles (deg): 60.00 60.00 60.00
Fractional positions:
Sc 0.500 0.500 0.500
Co 0.750 0.750 0.750
Ga 0.000 0.000 0.000
Hg 0.250 0.250 0.250

# TaGaCoHg

Crystalline TaGaCoHg at its relaxed geometry (PBE, OQMD via LeMat-Bulk).

Results
**Energy relative to the lowest polymorph listed for this composition**: 0.004 eV per atom
**Symmetry**: No. 216
**Crystal system**: cubic
**Final energy**: -5.176 eV per atom

a b c (Å): 4.501 4.501 4.501
angles (deg): 60.00 60.00 60.00
Fractional positions:
Ta 0.250 0.250 0.250
Ga 0.000 0.000 0.000
Hg 0.500 0.500 0.500
Co 0.750 0.750 0.750

# TaGaCoHg

Crystalline TaGaCoHg at its relaxed geometry (PBE, OQMD via LeMat-Bulk).

Results
**Energy relative to the lowest polymorph listed for this composition**: 0.000 eV per atom
**Symmetry**: No. 216
**Crystal system**: cubic
**Final energy**: -5.180 eV per atom

a b c (Å): 4.509 4.509 4.509
angles (deg): 60.00 60.00 60.00
Fractional positions:
Ta 0.500 0.500 0.500
Ga 0.000 0.000 0.000
Co 0.750 0.750 0.750
Hg 0.250 0.250 0.250

# GaCoHgW

Crystalline GaCoHgW at its relaxed geometry (PBE, OQMD via LeMat-Bulk).

Results
**Energy relative to the lowest polymorph listed for this composition**: 0.064 eV per atom
**Symmetry**: No. 216
**Crystal system**: cubic
**Final energy**: -5.073 eV per atom

a b c (Å): 4.462 4.462 4.462
angles (deg): 60.00 60.00 60.00
Fractional positions:
Hg 0.250 0.250 0.250
Ga 0.000 0.000 0.000
Co 0.750 0.750 0.750
W 0.500 0.500 0.500